MgCoMo2: optimized geometry, PBE.

abc: 3.1526 4.1685 4.5171
angles: 90.00 90.00 90.00
Closest atoms and distances in Å follow each position.
Sites, in units of the cell vectors:
Mo  0.0000  0.0000  0.0000  4 Mo 2.61, 4 Co 2.75
Mo  0.5000  0.5000  0.0000  4 Mo 2.61, 4 Mg 2.75
Mg  0.0000  0.5000  0.5000  4 Co 2.61, 4 Mo 2.75
Co  0.5000  0.0000  0.5000  4 Mg 2.61, 4 Mo 2.75

Energy relative to the elements in eV/atom: 0.28
Density in g/cm3: 7.70